# 1
VASP calculation (GGA-PBE) on a relaxed structure of BaSc2P.

abc: 3.6985 3.6985 30.0901
angles: 90.00 90.00 120.00
Sites, in units of the cell vectors:
Ba1 0.0000 0.0000 0.0000
Ba2 0.3333 0.6667 0.6667
Ba3 0.6667 0.3333 0.3333
Sc1 0.0000 0.0000 0.1192
Sc2 0.0000 0.0000 0.8808
Sc3 0.3333 0.6667 0.5475
Sc4 0.3333 0.6667 0.7859
Sc5 0.6667 0.3333 0.2141
Sc6 0.6667 0.3333 0.4525
P1 0.0000 0.0000 0.5000
P2 0.3333 0.6667 0.1667
P3 0.6667 0.3333 0.8333

Calculated values
V	356	Å³ per cell
energy of formation	-0.48	eV/atom
N(E_F)	1.21	states/eV/atom

***

# 2
VASP calculation (GGA-PBE) on a relaxed structure of NaTlAg.

abc: 4.9625 5.0647 6.3104
angles: 88.96 67.23 87.94
Sites, in units of the cell vectors:
Na1 0.1039 0.2538 0.3136
Na2 0.8961 0.7462 0.6864
Tl1 0.4052 0.2570 0.7092
Tl2 0.5948 0.7430 0.2908
Ag1 0.2277 0.7611 0.0130
Ag2 0.7723 0.2389 0.9870

Calculated values
V	146	Å³ per cell
energy of formation	-0.05	eV/atom
N(E_F)	0.25	states/eV/atom

***

# 3
VASP calculation (GGA-PBE) on a relaxed structure of Ac2TcB10.

abc: 5.9046 11.7855 4.3053
angles: 90.00 90.00 90.00
Sites, in units of the cell vectors:
Ac1 0.2169 0.1340 0.0000
Ac2 0.2831 0.6340 0.0000
Ac3 0.7169 0.3660 0.0000
Ac4 0.7831 0.8660 0.0000
Tc1 0.0000 0.5000 0.5000
Tc2 0.5000 0.0000 0.5000
B1 0.0646 0.3076 0.5000
B2 0.1199 0.9565 0.5000
B3 0.1316 0.8033 0.5000
B4 0.2234 0.3819 0.2037
B5 0.2234 0.3819 0.7963
B6 0.2766 0.8819 0.2037
B7 0.2766 0.8819 0.7963
B8 0.3684 0.3033 0.5000
B9 0.3801 0.4565 0.5000
B10 0.4354 0.8076 0.5000
B11 0.5646 0.1924 0.5000
B12 0.6199 0.5435 0.5000
B13 0.6316 0.6967 0.5000
B14 0.7234 0.1181 0.2037
B15 0.7234 0.1181 0.7963
B16 0.7766 0.6181 0.2037
B17 0.7766 0.6181 0.7963
B18 0.8684 0.1967 0.5000
B19 0.8801 0.0435 0.5000
B20 0.9354 0.6924 0.5000

Calculated values
V	300	Å³ per cell
energy of formation	-0.43	eV/atom
N(E_F)	0.30	states/eV/atom

***

# 4
VASP calculation (GGA-PBE) on a relaxed structure of KMnTe2I.

abc: 6.4285 6.4285 6.4277
angles: 90.00 90.00 90.00
Sites, in units of the cell vectors:
K1 0.0000 0.0000 0.0000
Mn1 0.5000 0.5000 0.5000
Te1 0.0000 0.5000 0.0000
Te2 0.5000 0.0000 0.0000
I1 0.0000 0.0000 0.5000

Calculated values
V	266	Å³ per cell
offset from the most stable computed form	23.12	kcal/mol of atoms
ΔE_f (raw)	414	kJ/mol of formula units
N(E_F)	1.09	states/eV/atom

***

# 5
VASP calculation (GGA-PBE) on a relaxed structure of Cu3IrSe.

abc: 4.6524 4.6524 4.6524
angles: 90.00 90.00 90.00
Sites, in units of the cell vectors:
Cu1 0.0000 0.0000 0.5000
Cu2 0.0000 0.5000 0.0000
Cu3 0.5000 0.0000 0.0000
Ir1 0.0000 0.0000 0.0000
Se1 0.5000 0.5000 0.5000

Calculated values
V	101	Å³ per cell
offset from the most stable computed form	3.15	kcal/mol of atoms
ΔE_f (raw)	537	kJ/mol of formula units
N(E_F)	1.29	states/eV/atom

***

# 6
VASP calculation (GGA-PBE) on a relaxed structure of LaSc2PbN.

abc: 4.6113 4.6113 5.0863
angles: 90.00 90.00 90.00
Sites, in units of the cell vectors:
La1 0.0000 0.0000 0.0000
Sc1 0.0000 0.5000 0.5000
Sc2 0.5000 0.0000 0.5000
Pb1 0.5000 0.5000 0.0000
N1 0.0000 0.0000 0.5000

Calculated values
V	108	Å³ per cell
ΔE_f (raw)	-428	kJ/mol of formula units
N(E_F)	0.85	states/eV/atom